ErThZnPd | the Alexandria database | PBE-GGA | optimized geometry; volume = 92.8 Å³/cell; size of the total moment = 0.00 μB/f.u.; DFT formation energy = -0.480 eV/atom; VASP energy = -20.37 eV per cell
1.0
-0.108 -5.003 -0.878
3.727 -2.192 -2.669
3.327 -3.059 2.321
Pd Er Th Zn
1 1 1 1
direct
0.250 0.250 0.250
0.500 0.500 0.500
0.000 0.000 0.000
0.750 0.750 0.750

---

ErTiPd6 | the Alexandria database | PBE-GGA | optimized geometry; volume = 129.3 Å³/cell; size of the total moment = 0.00 μB/f.u.; DFT formation energy = -0.779 eV/atom; VASP energy = -49.85 eV per cell; energy above the most stable polymorph in this dataset = 0 meV/atom
1.0
-3.304 1.586 -1.645
-2.207 -2.964 1.575
-1.181 4.387 6.603
Pd Ti Er
6 1 1
direct
0.500 0.000 0.265
0.500 0.500 0.500
0.000 0.500 0.735
0.000 0.500 0.265
0.500 0.000 0.735
0.500 0.500 0.000
0.000 0.000 0.500
0.000 0.000 0.000

---

Er2TiPd | the Alexandria database | PBE-GGA | optimized geometry; volume = 88.9 Å³/cell; size of the total moment = 0.01 μB/f.u.; DFT formation energy = -0.326 eV/atom; VASP energy = -23.52 eV per cell; energy above the most stable polymorph in this dataset = 0 meV/atom
1.0
3.475 0.000 0.000
0.000 3.475 0.000
0.000 0.000 7.357
Er Ti Pd
2 1 1
direct
0.000 0.000 0.232
0.000 0.000 0.768
0.500 0.500 0.500
0.500 0.500 0.000

---

ErTiPd5 | the Alexandria database | PBE-GGA | optimized geometry; volume = 122.9 Å³/cell; size of the total moment = 0.00 μB/f.u.; DFT formation energy = -0.628 eV/atom; VASP energy = -42.82 eV per cell
1.0
-4.054 0.462 -0.440
-0.206 -3.625 -1.913
-1.074 -3.322 6.410
Ti Pd Er
1 5 1
direct
0.500 0.500 0.000
0.500 0.500 0.500
0.500 0.000 0.789
0.000 0.500 0.211
0.000 0.500 0.789
0.500 0.000 0.211
0.000 0.000 0.500

---

ErTiPd4 | the Alexandria database | PBE-GGA | optimized geometry; volume = 409.0 Å³/cell; size of the total moment = 0.00 μB/f.u.; DFT formation energy = -0.713 eV/atom; VASP energy = -150.02 eV per cell
1.0
-1.825 -3.356 1.738
5.256 0.113 5.736
-7.458 7.520 6.685
Pd Ti Er
16 4 4
direct
0.250 0.990 0.097
0.250 0.490 0.403
0.750 0.000 0.250
0.750 0.500 0.250
0.250 0.500 0.750
0.250 0.750 0.908
0.750 0.510 0.597
0.750 0.750 0.408
0.250 0.000 0.750
0.750 0.010 0.903
0.750 0.490 0.903
0.750 0.250 0.092
0.250 0.510 0.097
0.250 0.010 0.403
0.250 0.250 0.592
0.750 0.990 0.597
0.250 0.250 0.229
0.750 0.250 0.729
0.750 0.750 0.771
0.250 0.750 0.271
0.250 0.250 0.933
0.250 0.750 0.567
0.750 0.250 0.433
0.750 0.750 0.067

---

ErTiPd6 | the Alexandria database | PBE-GGA | optimized geometry; volume = 153.4 Å³/cell; size of the total moment = 0.00 μB/f.u.; DFT formation energy = -0.187 eV/atom; VASP energy = -45.11 eV per cell; energy above the most stable polymorph in this dataset = 592 meV/atom
1.0
-0.820 3.606 3.870
-3.063 -3.488 2.666
4.283 -1.805 2.655
Pd Er Ti
6 1 1
direct
0.175 0.546 0.175
0.175 0.175 0.546
0.454 0.825 0.825
0.546 0.175 0.175
0.825 0.825 0.454
0.825 0.454 0.825
0.000 0.000 0.000
0.500 0.500 0.500

---

Er3TiPd12 | the Alexandria database | PBE-GGA | optimized geometry; volume = 267.6 Å³/cell; size of the total moment = 0.00 μB/f.u.; DFT formation energy = -0.840 eV/atom; VASP energy = -97.33 eV per cell
1.0
4.064 0.000 0.000
0.000 4.064 0.000
0.000 0.000 16.200
Pd Er Ti
12 3 1
direct
0.500 0.000 0.628
0.500 0.000 0.114
0.000 0.500 0.372
0.500 0.500 0.243
0.000 0.500 0.886
0.500 0.500 0.757
0.000 0.500 0.628
0.500 0.500 0.500
0.000 0.500 0.114
0.500 0.500 0.000
0.500 0.000 0.886
0.500 0.000 0.372
0.000 0.000 0.755
0.000 0.000 0.500
0.000 0.000 0.245
0.000 0.000 0.000

---

ErTi2Pd8 | the Alexandria database | PBE-GGA | optimized geometry; volume = 178.6 Å³/cell; size of the total moment = 0.00 μB/f.u.; DFT formation energy = -0.662 eV/atom; VASP energy = -69.18 eV per cell
1.0
-1.358 3.101 -2.157
-2.043 -4.125 -4.646
-4.670 -0.650 5.742
Pd Ti Er
8 2 1
direct
0.044 0.718 0.088
0.956 0.282 0.912
0.394 0.534 0.789
0.606 0.466 0.211
0.150 0.211 0.299
0.683 0.916 0.366
0.317 0.084 0.634
0.850 0.789 0.701
0.778 0.334 0.557
0.222 0.666 0.443
0.500 0.000 0.000

---

Repeat the first record exactly.
ErThZnPd | the Alexandria database | PBE-GGA | optimized geometry; volume = 92.8 Å³/cell; size of the total moment = 0.00 μB/f.u.; DFT formation energy = -0.480 eV/atom; VASP energy = -20.37 eV per cell
1.0
-0.108 -5.003 -0.878
3.727 -2.192 -2.669
3.327 -3.059 2.321
Pd Er Th Zn
1 1 1 1
direct
0.250 0.250 0.250
0.500 0.500 0.500
0.000 0.000 0.000
0.750 0.750 0.750

---

Q: Among the records above, which one has the lowest DFT formation energy?
A: Er3TiPd12

---

Q: Among the records above, which one has the highest DFT formation energy?
A: number 6

---

Q: Which value of size of the total moment does entry 5 give?
A: 0.00 μB/f.u.